# 1
Here is a geometry-optimized Cd3WI structure from Alexandria. Energies are from GGA-PBE.

Structure (POSCAR):
```
Cd3WI
1.0
5.8374 0.0000 0.0000
0.0000 5.8374 0.0000
0.0000 0.0000 5.8374
Cd W I
3 1 1
Cartesian
0.0000 0.0000 2.9187 Cd
0.0000 2.9187 0.0000 Cd
2.9187 0.0000 0.0000 Cd
2.9187 2.9187 2.9187 W
0.0000 0.0000 0.0000 I
```

Values from the calculation:
Uncorrected formation energy, eV per formula unit: 9.2
Density of states at the Fermi level, states/eV/f.u.: 2.67
Mass density, g/cm3: 5.41

# 2
Here is a geometry-optimized CdWI3 structure from Alexandria. Energies are from GGA-PBE.

Structure (POSCAR):
```
CdWI3
1.0
5.6617 0.0000 0.0000
0.0000 5.6617 0.0000
0.0000 0.0000 5.6617
Cd W I
1 1 3
Cartesian
0.0000 0.0000 0.0000 Cd
2.8308 2.8308 2.8308 W
0.0000 2.8308 2.8308 I
2.8308 0.0000 2.8308 I
2.8308 2.8308 0.0000 I
```

Values from the calculation:
Uncorrected formation energy, eV per formula unit: 2.5
Density of states at the Fermi level, states/eV/f.u.: 2.40
Mass density, g/cm3: 6.19

# 3
Here is a geometry-optimized Y2CdI structure from Alexandria. Energies are from GGA-PBE.

Structure (POSCAR):
```
Y2CdI
1.0
-2.4635 2.4635 10.9362
2.4635 -2.4635 10.9362
2.4635 2.4635 -10.9362
Y Cd I
4 2 2
Cartesian
3.6952 1.2176 -2.7340 Y
1.2176 1.2317 2.7340 Y
-1.2317 1.2458 8.2021 Y
1.2458 1.2317 13.6702 Y
2.4635 0.0000 5.4681 Cd
0.0000 0.0000 10.9362 Cd
0.0000 0.0000 0.0000 I
0.0000 2.4635 5.4681 I
```

Values from the calculation:
Uncorrected formation energy, eV per formula unit: 0.0
Density of states at the Fermi level, states/eV/f.u.: 4.44
Mass density, g/cm3: 5.22

# 4
Here is a geometry-optimized Y2CdI structure from Alexandria. Energies are from GGA-PBE.

Structure (POSCAR):
```
Y2CdI
1.0
1.8233 1.0527 11.3627
-1.8233 1.0527 11.3627
0.0000 -2.1053 11.3627
Y Cd I
2 1 1
Cartesian
0.0000 0.0000 3.1812 Y
0.0000 0.0000 30.9068 Y
0.0000 0.0000 0.0000 Cd
0.0000 0.0000 17.0440 I
```

Values from the calculation:
Uncorrected formation energy, eV per formula unit: -0.3
Density of states at the Fermi level, states/eV/f.u.: 5.04
Mass density, g/cm3: 5.29

# 5
Here is a geometry-optimized YCd2I6 structure from Alexandria. Energies are from GGA-PBE.

Structure (POSCAR):
```
YCd2I6
1.0
3.9849 2.3007 7.7105
-3.9849 2.3007 7.7105
0.0000 -4.6014 7.7105
Y Cd I
1 2 6
Cartesian
0.0000 0.0000 0.0000 Y
0.0000 0.0000 6.2768 Cd
0.0000 0.0000 9.1196 Cd
-1.2365 -2.5390 9.6214 I
-2.7298 -0.2427 13.5234 I
-1.5806 2.3403 9.6214 I
1.5751 -2.2427 13.5234 I
2.8171 0.1987 9.6214 I
1.1547 2.4854 13.5234 I
```

Values from the calculation:
Uncorrected formation energy, eV per formula unit: -7.2
Density of states at the Fermi level, states/eV/f.u.: 2.95
Mass density, g/cm3: 4.21

# 6
Here is a geometry-optimized Y2CdI structure from Alexandria. Energies are from GGA-PBE.

Structure (POSCAR):
```
Y2CdI
1.0
0.0000 3.8226 3.8226
3.8226 0.0000 3.8226
3.8226 3.8226 0.0000
Y Cd I
2 1 1
Cartesian
1.9113 1.9113 1.9113 Y
5.7339 5.7339 5.7339 Y
0.0000 0.0000 0.0000 Cd
3.8226 3.8226 3.8226 I
```

Values from the calculation:
Uncorrected formation energy, eV per formula unit: -1.3
Density of states at the Fermi level, states/eV/f.u.: 4.61
Mass density, g/cm3: 6.20

# 7
Here is a geometry-optimized YCdI3 structure from Alexandria. Energies are from GGA-PBE.

Structure (POSCAR):
```
YCdI3
1.0
6.0520 0.0000 0.0000
0.0000 6.0520 0.0000
0.0000 0.0000 6.0520
Y Cd I
1 1 3
Cartesian
0.0000 0.0000 0.0000 Y
3.0260 3.0260 3.0260 Cd
0.0000 0.0000 3.0260 I
0.0000 3.0260 0.0000 I
3.0260 0.0000 0.0000 I
```

Values from the calculation:
Uncorrected formation energy, eV per formula unit: -4.3
Density of states at the Fermi level, states/eV/f.u.: 0.00
Mass density, g/cm3: 4.36

# 8
Here is a geometry-optimized Zn2Cd2I structure from Alexandria. Energies are from GGA-PBE.

Structure (POSCAR):
```
Zn2Cd2I
1.0
-1.9236 1.9236 8.4248
1.9236 -1.9236 8.4248
1.9236 1.9236 -8.4248
Zn Cd I
2 2 1
Cartesian
1.9236 0.0000 4.2124 Zn
0.0000 1.9236 4.2124 Zn
0.0000 0.0000 2.0339 Cd
0.0000 0.0000 14.8157 Cd
0.0000 0.0000 8.4248 I
```

Values from the calculation:
Uncorrected formation energy, eV per formula unit: 0.4
Density of states at the Fermi level, states/eV/f.u.: 1.96
Mass density, g/cm3: 6.43

# 9
Here is a geometry-optimized ZnCd2I6 structure from Alexandria. Energies are from GGA-PBE.

Structure (POSCAR):
```
ZnCd2I6
1.0
8.0432 -7.8965 0.0000
8.0432 7.8965 0.0000
-3.3330 0.0000 6.7687
Zn Cd I
2 4 12
Cartesian
5.5435 4.3890 5.0765 Zn
7.2099 -4.3890 1.6922 Zn
2.3738 1.2719 3.9951 Cd
4.0402 -1.2719 0.6107 Cd
8.7132 1.2719 6.1580 Cd
10.3796 -1.2719 2.7737 Cd
5.0784 5.8965 2.9434 I
3.9318 1.3894 1.6530 I
3.5046 2.9747 5.9819 I
9.3414 5.8965 0.4410 I
2.2653 -1.3894 5.0374 I
7.5823 2.9747 4.1712 I
5.1711 -2.9747 2.5975 I
10.4881 1.3894 1.7313 I
3.4119 -5.8965 6.3278 I
9.2488 -2.9747 0.7869 I
8.8216 -1.3894 5.1157 I
7.6750 -5.8965 3.8253 I
```

Values from the calculation:
Uncorrected formation energy, eV per formula unit: -5.3
Density of states at the Fermi level, states/eV/f.u.: 0.00
Mass density, g/cm3: 4.06

# 10
Here is a geometry-optimized Zn2Cd2I structure from Alexandria. Energies are from GGA-PBE.

Structure (POSCAR):
```
Zn2Cd2I
1.0
-2.3143 2.3143 5.9964
2.3143 -2.3143 5.9964
2.3143 2.3143 -5.9964
Zn Cd I
2 2 1
Cartesian
0.0000 0.0000 1.2371 Zn
0.0000 0.0000 10.7557 Zn
2.3143 0.0000 2.9982 Cd
0.0000 2.3143 2.9982 Cd
0.0000 0.0000 5.9964 I
```

Values from the calculation:
Uncorrected formation energy, eV per formula unit: 0.4
Density of states at the Fermi level, states/eV/f.u.: 1.49
Mass density, g/cm3: 6.24

# 11
Here is a geometry-optimized ZnCdI2 structure from Alexandria. Energies are from GGA-PBE.

Structure (POSCAR):
```
ZnCdI2
1.0
0.0000 3.8850 3.8850
3.8850 0.0000 3.8850
3.8850 3.8850 0.0000
Zn Cd I
1 1 2
Cartesian
0.0000 0.0000 0.0000 Zn
3.8850 3.8850 3.8850 Cd
1.9425 1.9425 1.9425 I
5.8275 5.8275 5.8275 I
```

Values from the calculation:
Uncorrected formation energy, eV per formula unit: 0.1
Density of states at the Fermi level, states/eV/f.u.: 1.46
Mass density, g/cm3: 6.11

# 12
Here is a geometry-optimized ZnCdI3 structure from Alexandria. Energies are from GGA-PBE.

Structure (POSCAR):
```
ZnCdI3
1.0
5.6179 0.0000 0.0000
0.0000 5.6179 0.0000
0.0000 0.0000 5.6179
Zn Cd I
1 1 3
Cartesian
0.0000 0.0000 0.0000 Zn
2.8090 2.8090 2.8090 Cd
0.0000 0.0000 2.8090 I
0.0000 2.8090 0.0000 I
2.8090 0.0000 0.0000 I
```

Values from the calculation:
Uncorrected formation energy, eV per formula unit: -0.4
Density of states at the Fermi level, states/eV/f.u.: 5.25
Mass density, g/cm3: 5.23

# 13
Here is a geometry-optimized ZnCdI structure from Alexandria. Energies are from GGA-PBE.

Structure (POSCAR):
```
ZnCdI
1.0
12.4899 0.0000 0.0000
0.0000 1.9585 3.7555
0.0000 -1.9585 3.7555
Zn Cd I
2 2 2
Cartesian
0.0000 0.0000 0.0000 Zn
6.2449 0.0000 1.5126 Zn
1.5976 0.0000 2.3669 Cd
10.8923 0.0000 2.3669 Cd
4.2726 0.0000 5.2633 I
8.2173 0.0000 5.2633 I
```

Values from the calculation:
Uncorrected formation energy, eV per formula unit: 0.0
Density of states at the Fermi level, states/eV/f.u.: 0.72
Mass density, g/cm3: 5.51

# 14
Here is a geometry-optimized ZnCdI2 structure from Alexandria. Energies are from GGA-PBE.

Structure (POSCAR):
```
ZnCdI2
1.0
-4.1491 4.1491 4.9287
4.1491 -4.1491 4.9287
4.1491 4.1491 -4.9287
Zn Cd I
2 2 4
Cartesian
0.0000 0.0000 0.0000 Zn
0.0000 4.1491 2.4643 Zn
4.1491 0.0000 2.4643 Cd
0.0000 0.0000 4.9287 Cd
2.0746 1.1562 -1.2322 I
2.9929 -2.0746 6.1608 I
2.0746 2.9929 3.6965 I
1.1562 6.2237 1.2322 I
```

Values from the calculation:
Uncorrected formation energy, eV per formula unit: -0.8
Density of states at the Fermi level, states/eV/f.u.: 0.00
Mass density, g/cm3: 4.22

# 15
Here is a geometry-optimized Zn2Cd2I structure from Alexandria. Energies are from GGA-PBE.

Structure (POSCAR):
```
Zn2Cd2I
1.0
8.2711 0.0000 0.0000
0.0000 8.2711 0.0000
0.0000 0.0000 3.6341
Zn Cd I
4 4 2
Cartesian
1.4668 2.6687 0.0000 Zn
2.6687 6.8043 0.0000 Zn
5.6024 1.4668 0.0000 Zn
6.8043 5.6024 0.0000 Zn
1.0487 5.1842 1.8171 Cd
3.0869 1.0487 1.8171 Cd
5.1842 7.2224 1.8171 Cd
7.2224 3.0869 1.8171 Cd
0.0000 0.0000 1.8171 I
4.1355 4.1355 1.8171 I
```

Values from the calculation:
Uncorrected formation energy, eV per formula unit: 0.7
Density of states at the Fermi level, states/eV/f.u.: 1.59
Mass density, g/cm3: 6.45

# 16
Here is a geometry-optimized Zn3CdI8 structure from Alexandria. Energies are from GGA-PBE.

Structure (POSCAR):
```
Zn3CdI8
1.0
8.3349 0.0000 0.0000
-4.1675 7.2183 0.0000
0.0000 0.0000 13.8369
Zn Cd I
6 2 16
Cartesian
0.0000 2.4671 0.0000 Zn
-2.0309 5.9847 0.0000 Zn
2.1366 1.2336 6.9185 Zn
2.0309 5.9847 0.0000 Zn
6.1983 1.2336 6.9185 Zn
4.1675 4.7511 6.9185 Zn
0.0000 4.8122 3.5839 Cd
4.1675 2.4061 10.5024 Cd
0.0000 0.0000 1.4764 I
0.0000 0.0000 8.3948 I
-2.0318 3.6391 1.6350 I
0.0000 2.3025 5.2310 I
-2.1735 6.0670 5.2310 I
1.9940 1.1512 12.1495 I
0.0000 4.8122 12.2050 I
2.0318 3.6391 1.6350 I
0.0000 7.1583 1.6350 I
4.1675 0.0600 8.5535 I
2.1357 3.5791 8.5535 I
4.1675 2.4061 5.2865 I
2.1735 6.0670 5.2310 I
6.3409 1.1512 12.1495 I
4.1675 4.9158 12.1495 I
6.1992 3.5791 8.5535 I
```

Values from the calculation:
Uncorrected formation energy, eV per formula unit: -5.4
Density of states at the Fermi level, states/eV/f.u.: 0.00
Mass density, g/cm3: 5.28

# 17
Here is a geometry-optimized ZnCdI3 structure from Alexandria. Energies are from GGA-PBE.

Structure (POSCAR):
```
ZnCdI3
1.0
5.9163 0.0000 0.0000
0.0000 5.9163 0.0000
0.0000 0.0000 5.9163
Zn Cd I
1 1 3
Cartesian
0.0000 0.0000 0.0000 Zn
2.9582 2.9582 2.9582 Cd
0.0000 2.9582 2.9582 I
2.9582 0.0000 2.9582 I
2.9582 2.9582 0.0000 I
```

Values from the calculation:
Uncorrected formation energy, eV per formula unit: 0.2
Density of states at the Fermi level, states/eV/f.u.: 4.07
Mass density, g/cm3: 4.48

# 18
Here is a geometry-optimized ZnCdI4 structure from Alexandria. Energies are from GGA-PBE.

Structure (POSCAR):
```
ZnCdI4
1.0
8.3219 -2.0975 0.0000
8.3219 2.0975 0.0000
-3.1790 0.0000 6.6043
Zn Cd I
1 1 4
Cartesian
0.0000 0.0000 0.0000 Zn
6.7324 0.0000 3.3022 Cd
0.5190 0.0000 2.8461 I
6.3392 0.0000 0.3152 I
7.1256 0.0000 6.2892 I
12.9458 0.0000 3.7583 I
```

Values from the calculation:
Uncorrected formation energy, eV per formula unit: -3.0
Density of states at the Fermi level, states/eV/f.u.: 0.00
Mass density, g/cm3: 4.94

# 19
Here is a geometry-optimized Zn3CdI structure from Alexandria. Energies are from GGA-PBE.

Structure (POSCAR):
```
Zn3CdI
1.0
5.2533 0.0000 0.0000
0.0000 5.2533 0.0000
0.0000 0.0000 5.2533
Zn Cd I
3 1 1
Cartesian
0.0000 0.0000 2.6267 Zn
0.0000 2.6267 0.0000 Zn
2.6267 0.0000 0.0000 Zn
0.0000 0.0000 0.0000 Cd
2.6267 2.6267 2.6267 I
```

Values from the calculation:
Uncorrected formation energy, eV per formula unit: 1.1
Density of states at the Fermi level, states/eV/f.u.: 1.38
Mass density, g/cm3: 4.99

# 20
Here is a geometry-optimized Zn3CdI9 structure from Alexandria. Energies are from GGA-PBE.

Structure (POSCAR):
```
Zn3CdI9
1.0
10.6205 -5.1698 0.0000
10.6205 5.1698 0.0000
-10.5096 0.0000 10.7398
Zn Cd I
6 2 18
Cartesian
5.3657 5.1336 5.3699 Zn
-4.6605 1.0414 9.7559 Zn
0.5944 -1.0414 4.3860 Zn
8.1628 1.2972 5.6338 Zn
13.4176 -1.2972 0.2639 Zn
10.6205 -5.1336 0.0000 Zn
0.0952 1.3457 8.2562 Cd
5.3500 -1.3457 2.8863 Cd
1.2909 3.8927 8.7811 I
-0.4173 1.1870 5.4545 I
10.0596 3.5877 2.0612 I
6.8132 3.3359 6.6705 I
-2.0219 0.5527 9.9528 I
4.8375 -1.1870 0.0846 I
3.2329 -0.5527 4.5829 I
7.5186 0.5251 3.2159 I
2.2638 -0.5251 8.5858 I
10.7554 1.9174 5.7776 I
13.0023 0.6477 1.9965 I
8.5516 1.2218 9.9058 I
7.7475 -0.6477 7.3664 I
6.5457 -3.8927 3.4112 I
4.8048 -3.5877 7.4311 I
12.0680 -3.3359 1.3006 I
16.0103 -1.9174 0.4077 I
13.8064 -1.2218 4.5359 I
```

Values from the calculation:
Uncorrected formation energy, eV per formula unit: -6.2
Mass density, g/cm3: 4.09